1.
Computed, not measured: a relaxed structure of SrZn2Au at the PBE-GGA level of DFT.

The structure in CIF format:
```
data_SrZn2Au
_cell_length_a 5.974
_cell_length_b 10.904
_cell_length_c 4.271
_cell_angle_alpha 90.00
_cell_angle_beta 132.92
_cell_angle_gamma 90.00
_space_group_name_H-M_alt 'C 1 2/m 1'
_space_group_IT_number 12
_space_group_name_Hall '-C 2y'
loop_
_atom_site_label
_atom_site_type_symbol
_atom_site_fract_x
_atom_site_fract_y
_atom_site_fract_z
Sr1 Sr 0.000 0.000 0.000
Zn1 Zn 0.250 0.250 0.500
Au1 Au 0.000 0.500 0.000
```

Summary:
Fermi-level density of states = 0.51 states/eV per atom

2.
Computed, not measured: a relaxed structure of SrZn2Au at the PBE-GGA level of DFT.

The structure in CIF format:
```
data_SrZn2Au
_cell_length_a 6.988
_cell_length_b 6.988
_cell_length_c 6.988
_cell_angle_alpha 90.00
_cell_angle_beta 90.00
_cell_angle_gamma 90.00
_space_group_name_H-M_alt 'F m -3 m'
_space_group_IT_number 225
_space_group_name_Hall '-F 4 2 3'
loop_
_atom_site_label
_atom_site_type_symbol
_atom_site_fract_x
_atom_site_fract_y
_atom_site_fract_z
Sr1 Sr 0.000 0.000 0.000
Zn1 Zn 0.250 0.250 0.250
Au1 Au 0.000 0.000 0.500
```

Summary:
Fermi-level density of states = 0.74 states/eV per atom

3.
Computed, not measured: a relaxed structure of Sr8Zn2Au at the PBE-GGA level of DFT.

The structure in CIF format:
```
data_Sr8Zn2Au
_cell_length_a 13.855
_cell_length_b 9.997
_cell_length_c 7.539
_cell_angle_alpha 90.00
_cell_angle_beta 108.16
_cell_angle_gamma 90.00
_space_group_name_H-M_alt 'C 1 2/m 1'
_space_group_IT_number 12
_space_group_name_Hall '-C 2y'
loop_
_atom_site_label
_atom_site_type_symbol
_atom_site_fract_x
_atom_site_fract_y
_atom_site_fract_z
Sr1 Sr 0.079 0.000 0.281
Sr2 Sr 0.132 0.500 0.238
Sr3 Sr 0.148 0.293 0.747
Zn1 Zn 0.181 0.000 0.946
Au1 Au 0.000 0.500 0.500
```

Summary:
Distance to the lowest polymorph of the same formula = 0.0 meV per atom
Fermi-level density of states = 0.99 states/eV per atom

Formation energy from the elements values, unit eV/atom, following the record order: -0.06 -0.24 -0.18.